Material: CaLa2ReN4
Method: DFT, PBE
State: relaxed

Lattice parameters (Å, degrees): 3.5933 12.5817 12.2614 90.00 90.00 90.00
Space group Cmcm (No. 63)
Unique sites:
Ca1 0.0000 0.1345 0.2500 (multiplicity 4)
La1 0.0000 0.3695 0.0327 (multiplicity 8)
Re1 0.0000 0.1509 0.7500 (multiplicity 4)
N1 0.0000 0.0000 0.0000 (multiplicity 4)
N2 0.0000 0.2601 0.6365 (multiplicity 8)
N3 0.0000 0.4116 0.2500 (multiplicity 4)

Computed properties:
The crystal system is orthorhombic. The formation energy from raw total energies comes out at -584 kJ/mol of formula units.



Material: Er3TlIr2
Method: DFT, PBE
State: relaxed

Lattice parameters (Å, degrees): 3.3577 3.3577 11.9333 90.00 90.00 90.00
Space group P4/mmm (No. 123)
Unique sites:
Er1 0.0000 0.0000 0.0000 (multiplicity 1)
Er2 0.0000 0.0000 0.2883 (multiplicity 2)
Tl1 0.5000 0.5000 0.5000 (multiplicity 1)
Ir1 0.5000 0.5000 0.1503 (multiplicity 2)

Computed properties:
The crystal system is tetragonal. The value obtained for the energy of formation is -717 meV per atom.



Material: LiTcB3
Method: DFT, PBE
State: relaxed

Lattice parameters (Å, degrees): 3.5191 3.5191 3.5191 90.00 90.00 90.00
Space group Pm-3m (No. 221)
Unique sites:
Li1 0.0000 0.0000 0.0000 (multiplicity 1)
Tc1 0.5000 0.5000 0.5000 (multiplicity 1)
B1 0.0000 0.0000 0.5000 (multiplicity 3)

Computed properties:
For the offset from the most stable computed form, the calculation gives 1021 meV/atom. The crystal system is cubic. The value obtained for the energy of formation is 1691 meV per atom.



Material: Na2HgBi
Method: DFT, PBE
State: relaxed

Lattice parameters (Å, degrees): 5.5664 5.5664 3.5907 90.00 90.00 90.00
Space group P4/mmm (No. 123)
Unique sites:
Na1 0.0000 0.5000 0.0000 (multiplicity 2)
Hg1 0.0000 0.0000 0.5000 (multiplicity 1)
Bi1 0.5000 0.5000 0.5000 (multiplicity 1)

Computed properties:
The crystal system is tetragonal. The value obtained for the energy of formation is -281 meV per atom.



Material: Nd3PS
Method: DFT, PBE
State: relaxed

Lattice parameters (Å, degrees): 6.7571 6.7571 3.6951 90.00 90.00 120.00
Space group P-6 (No. 174)
Unique sites:
Nd1 0.0073 0.6714 0.0000 (multiplicity 3)
P1 0.3333 0.6667 0.5000 (multiplicity 1)
S1 0.0000 0.0000 0.5000 (multiplicity 1)

Computed properties:
The crystal system is hexagonal. The formation energy from raw total energies comes out at -543 kJ/mol of formula units.



Material: LaTbPm2
Method: DFT, PBE
State: relaxed

Lattice parameters (Å, degrees): 6.3997 5.8923 14.7646 90.00 90.00 90.00
Space group Pnma (No. 62)
Unique sites:
La1 0.0853 0.2500 0.1880 (multiplicity 4)
Tb1 0.0821 0.2500 0.4392 (multiplicity 4)
Pm1 0.0827 0.2500 0.6854 (multiplicity 4)
Pm2 0.0859 0.2500 0.9377 (multiplicity 4)

Computed properties:
For the offset from the most stable computed form, the calculation gives 16 meV/atom. The crystal system is orthorhombic. The value obtained for the energy of formation is 34 meV per atom.



Material: Mg2CoSi2Ni5
Method: DFT, PBE
State: relaxed

Lattice parameters (Å, degrees): 8.8621 8.8621 3.2835 90.00 90.00 90.00
Space group P4/mbm (No. 127)
Unique sites:
Mg1 0.1733 0.3267 0.0000 (multiplicity 4)
Co1 0.0000 0.0000 0.0000 (multiplicity 2)
Si1 0.1263 0.6263 0.0000 (multiplicity 4)
Ni1 0.0000 0.5000 0.5000 (multiplicity 2)
Ni2 0.0665 0.7959 0.5000 (multiplicity 8)

Computed properties:
The crystal system is tetragonal. The formation energy from raw total energies comes out at -239 kJ/mol of formula units.



Material: MnPt3Au
Method: DFT, PBE
State: relaxed

Lattice parameters (Å, degrees): 4.9075 4.9075 4.9075 90.00 90.00 90.00
Space group Pm-3m (No. 221)
Unique sites:
Mn1 0.0000 0.0000 0.0000 (multiplicity 1)
Pt1 0.0000 0.5000 0.5000 (multiplicity 3)
Au1 0.5000 0.5000 0.5000 (multiplicity 1)

Computed properties:
For the offset from the most stable computed form, the calculation gives 989 meV/atom. The crystal system is cubic. The value obtained for the energy of formation is 1983 meV per atom.



Material: Sb2HI
Method: DFT, PBE
State: relaxed

Lattice parameters (Å, degrees): 6.3680 6.3680 10.4369 90.00 90.00 90.00
Space group I-42d (No. 122)
Unique sites:
Sb1 0.0886 0.2500 0.1250 (multiplicity 8)
H1 0.0000 0.0000 0.0000 (multiplicity 4)
I1 0.0000 0.0000 0.5000 (multiplicity 4)

Computed properties:
For the offset from the most stable computed form, the calculation gives 0 meV/atom. The crystal system is tetragonal.



Material: SrTlInPb2
Method: DFT, PBE
State: relaxed

Lattice parameters (Å, degrees): 3.6861 21.1630 8.6859 90.00 90.00 90.00
Space group Cmcm (No. 63)
Unique sites:
Sr1 0.0000 0.2367 0.2500 (multiplicity 4)
Tl1 0.0000 0.4176 0.7500 (multiplicity 4)
In1 0.0000 0.0000 0.0000 (multiplicity 4)
Pb1 0.0000 0.1412 0.5693 (multiplicity 8)

Computed properties:
For the offset from the most stable computed form, the calculation gives 0 meV/atom. The crystal system is orthorhombic. The value obtained for the energy of formation is -47 meV per atom.



Material: ZrRh2Cl
Method: DFT, PBE
State: relaxed

Lattice parameters (Å, degrees): 4.6127 3.0350 4.6405 90.00 90.11 90.00
Space group P2/m (No. 10)
Unique sites:
Zr1 0.0000 0.0000 0.0000 (multiplicity 1)
Rh1 0.5000 0.0000 0.5000 (multiplicity 1)
Rh2 0.5000 0.5000 0.0000 (multiplicity 1)
Cl1 0.0000 0.5000 0.5000 (multiplicity 1)

Computed properties:
For the offset from the most stable computed form, the calculation gives 259 meV/atom. The crystal system is monoclinic. The formation energy from raw total energies comes out at -71 kJ/mol of formula units.



Material: CdIrBr2
Method: DFT, PBE
State: relaxed

Lattice parameters (Å, degrees): 6.9375 6.9865 3.4074 90.00 90.00 90.00
Space group Cmmm (No. 65)
Unique sites:
Cd1 0.0000 0.0000 0.0000 (multiplicity 2)
Ir1 0.0000 0.5000 0.0000 (multiplicity 2)
Br1 0.2500 0.2500 0.5000 (multiplicity 4)

Computed properties:
For the offset from the most stable computed form, the calculation gives 814 meV/atom. The crystal system is orthorhombic. The formation energy from raw total energies comes out at 298 kJ/mol of formula units.



Respective density of states at the Fermi level values: 6.1, 4.6, 4.4, 1.4, 4.8, 7.3, 8.0, 11.8, 2.7, 3.1, 3.8, 3.7 states/eV/f.u..
Respective total moment values: 0.35, 0.00, 0.00, 0.00, 0.00, 0.00, 1.71, 0.79, 0.00, 0.00, 0.00, 0.01 μB/f.u..